Record 1
CoBi2Au: relaxed, GGA-PBEsol.

Summary:
offset from the most stable computed form	0	meV per atom
symmetry	Fm-3m (225)
crystal system	cubic

Unit cell a=4.8970 b=4.8970 c=4.8970 alpha=60.00 beta=60.00 gamma=60.00
With the nearest neighbours (Å) after each atom.
Fractional positions:
1 Bi 0.7500 0.7500 0.7500  4 Co 3.00, 4 Au 3.00
2 Co 0.0000 0.0000 0.0000  8 Bi 3.00
3 Au 0.5000 0.5000 0.5000  8 Bi 3.00
4 Bi 0.2500 0.2500 0.2500  4 Au 3.00, 4 Co 3.00

=====

Record 2
CoBi2Au: relaxed, GGA-PBEsol.

Summary:
offset from the most stable computed form	59	meV per atom
symmetry	I-42d (122)
crystal system	tetragonal

Unit cell a=4.9283 b=4.9283 c=8.7222 alpha=106.41 beta=106.41 gamma=90.00
With the nearest neighbours (Å) after each atom.
Fractional positions:
1 Co 0.7500 0.2500 0.5000  4 Bi 2.57
2 Bi 0.8375 0.3750 0.2500  2 Co 2.57, 2 Au 2.74
3 Bi 0.1250 0.1625 0.7500  2 Co 2.57, 2 Au 2.74
4 Bi 0.4125 0.8750 0.2500  2 Co 2.57, 2 Au 2.74
5 Co 0.5000 0.5000 0.0000  4 Bi 2.57
6 Au 0.0000 0.0000 0.0000  4 Bi 2.74
7 Au 0.2500 0.7500 0.5000  4 Bi 2.74
8 Bi 0.6250 0.5875 0.7500  2 Co 2.57, 2 Au 2.74

=====

Record 3
HfCo2BiAu: relaxed, GGA-PBEsol.

Summary:
symmetry	P4/mmm (123)
crystal system	tetragonal

Unit cell a=4.5752 b=4.5752 c=5.2699 alpha=90.00 beta=90.00 gamma=90.00
With the nearest neighbours (Å) after each atom.
Fractional positions:
1 Bi 0.0000 0.0000 0.5000  2 Au 2.63
2 Au 0.0000 0.0000 0.0000  4 Co 2.29
3 Co 0.0000 0.5000 0.0000  2 Au 2.29
4 Co 0.5000 0.0000 0.0000  2 Au 2.29
5 Hf 0.5000 0.5000 0.5000  4 Bi 3.24, 8 Co 3.49

=====

Record 4
MnCoBi2Au: relaxed, GGA-PBEsol.

Summary:
symmetry	P4/mmm (123)
crystal system	tetragonal

Unit cell a=4.8612 b=4.9443 c=4.9443 alpha=90.00 beta=90.00 gamma=90.00
With the nearest neighbours (Å) after each atom.
Fractional positions:
1 Bi 0.0000 0.0000 0.5000  2 Mn 2.47
2 Co 0.5000 0.5000 0.5000  8 Bi 3.47, 4 Au 3.50
3 Mn 0.0000 0.0000 0.0000  2 Au 2.43, 4 Bi 2.47
4 Bi 0.0000 0.5000 0.0000  2 Mn 2.47
5 Au 0.5000 0.0000 0.0000  2 Mn 2.43

=====

Record 5
KCrBi2Au: relaxed, GGA-PBEsol.

Summary:
symmetry	P4/mmm (123)
crystal system	tetragonal

Unit cell a=5.2577 b=5.7117 c=5.7117 alpha=90.00 beta=90.00 gamma=90.00
With the nearest neighbours (Å) after each atom.
Fractional positions:
1 Bi 0.0000 0.0000 0.5000  2 K 2.86
2 K 0.0000 0.0000 0.0000  2 Au 2.63, 4 Bi 2.86
3 Au 0.5000 0.0000 0.0000  2 K 2.63
4 Bi 0.0000 0.5000 0.0000  2 K 2.86
5 Cr 0.5000 0.5000 0.5000  8 Bi 3.88, 4 Au 4.04

=====

Record 6
TlCrBi2Au: relaxed, GGA-PBEsol.

Summary:
symmetry	P4/mmm (123)
crystal system	tetragonal

Unit cell a=5.1026 b=5.1026 c=5.1704 alpha=90.00 beta=90.00 gamma=90.00
With the nearest neighbours (Å) after each atom.
Fractional positions:
1 Bi 0.0000 0.5000 0.0000  2 Cr 2.55
2 Cr 0.0000 0.0000 0.0000  4 Bi 2.55, 2 Au 2.59
3 Tl 0.5000 0.5000 0.5000  4 Au 3.61, 8 Bi 3.63
4 Bi 0.5000 0.0000 0.0000  2 Cr 2.55
5 Au 0.0000 0.0000 0.5000  2 Cr 2.59

=====

Number 1: calculated formation energy 0.41 eV/atom. Number 2: calculated formation energy 0.47 eV/atom. Number 3: calculated formation energy 1.25 eV/atom. Number 4: calculated formation energy 1.08 eV/atom. Number 5: calculated formation energy 1.61 eV/atom. Number 6: calculated formation energy 0.46 eV/atom.